# 1
NpCuMoO6: relaxed, GGA+U.

The structure in CIF format:
```
data_NpCuMoO6
_chemical_formula_sum 'Np2 Cu2 Mo2 O12'
_symmetry_space_group_name_H-M 'P -3 1 c'
_symmetry_Int_Tables_number 163
_symmetry_space_group_name_Hall '-P 3 2c'
_cell_length_a 5.1902
_cell_length_b 5.1902
_cell_length_c 9.3577
_cell_angle_alpha 90.00
_cell_angle_beta 90.00
_cell_angle_gamma 120.00
loop_
_atom_site_label
_atom_site_type_symbol
_atom_site_fract_x
_atom_site_fract_y
_atom_site_fract_z
Np1 Np 0.3333 0.6667 0.2500
Cu1 Cu 0.3333 0.6667 0.7500
Mo1 Mo 0.0000 0.0000 0.0000
O1 O 0.0069 0.3242 0.1260
```

Results
Energy, eV/f.u.: -70.450
M_tot, Bohr magnetons per cell: 4.0

***

# 2
NpCu2MoO8: relaxed, GGA+U.

The structure in CIF format:
```
data_NpCu2MoO8
_chemical_formula_sum 'Np2 Cu4 Mo2 O16'
_symmetry_space_group_name_H-M 'I -4 m 2'
_symmetry_Int_Tables_number 119
_symmetry_space_group_name_Hall 'I -4 -2'
_cell_length_a 6.3867
_cell_length_b 6.3867
_cell_length_c 7.1322
_cell_angle_alpha 90.00
_cell_angle_beta 90.00
_cell_angle_gamma 90.00
loop_
_atom_site_label
_atom_site_type_symbol
_atom_site_fract_x
_atom_site_fract_y
_atom_site_fract_z
Np1 Np 0.0000 0.0000 0.0000
Cu1 Cu 0.0000 0.0000 0.5000
Cu2 Cu 0.0000 0.5000 0.7500
Mo1 Mo 0.0000 0.5000 0.2500
O1 O 0.0000 0.2124 0.3119
O2 O 0.0000 0.3045 0.9597
```

Results
Energy, eV/f.u.: -85.048
M_tot, Bohr magnetons per cell: 2.2

***

# 3
CuMoO2: relaxed, GGA+U.

The structure in CIF format:
```
data_CuMoO2
_chemical_formula_sum 'Cu4 Mo4 O8'
_symmetry_space_group_name_H-M 'F m -3 m'
_symmetry_Int_Tables_number 225
_symmetry_space_group_name_Hall '-F 4 2 3'
_cell_length_a 5.4131
_cell_length_b 5.4131
_cell_length_c 5.4131
_cell_angle_alpha 90.00
_cell_angle_beta 90.00
_cell_angle_gamma 90.00
loop_
_atom_site_label
_atom_site_type_symbol
_atom_site_fract_x
_atom_site_fract_y
_atom_site_fract_z
Cu1 Cu 0.0000 0.0000 0.0000
Mo1 Mo 0.0000 0.0000 0.5000
O1 O 0.2500 0.2500 0.2500
```

Results
Energy, eV/f.u.: -22.251
M_tot, Bohr magnetons per cell: 4.0
Energy above the lowest structure with this stoichiometry, meV/atom: 542